## PmSm4Ho6 (PBE)

Data for an optimized crystal structure of PmSm4Ho6. Values from VASP.

```
&SYSTEM
  ibrav = 0, nat = 11, ntyp = 3
/
ATOMIC_SPECIES
Pm 145.00 Pm.upf
Sm 150.36 Sm.upf
Ho 164.93 Ho.upf
CELL_PARAMETERS angstrom
7.722 0.000 0.000
0.000 7.722 0.000
-3.861 -3.861 6.486
ATOMIC_POSITIONS angstrom
Pm 3.861 3.861 0.000
Sm -2.535 2.535 5.511
Sm 6.396 6.396 0.975
Sm 2.535 -2.535 5.511
Sm 1.326 1.326 0.975
Ho 5.782 1.940 2.401
Ho 1.940 5.782 2.401
Ho 1.921 1.921 4.085
Ho 0.000 3.861 0.000
Ho -1.921 -1.921 4.085
Ho 3.861 0.000 0.000
```

The calculation puts the energy above the most stable polymorph in this dataset at 0.137 eV/atom. The electronic total energy is -46.17 eV/cell. The value obtained for the density of states at the Fermi level is 15.29 states/eV per cell.

## LiCeTmSe3 (PBE)

Data for an optimized crystal structure of LiCeTmSe3. Values from VASP.

```
&SYSTEM
  ibrav = 0, nat = 12, ntyp = 4
/
ATOMIC_SPECIES
Li 6.94 Li.upf
Ce 140.12 Ce.upf
Tm 168.93 Tm.upf
Se 78.96 Se.upf
CELL_PARAMETERS angstrom
4.015 0.000 0.000
0.000 8.385 0.043
0.000 -2.168 8.595
ATOMIC_POSITIONS angstrom
Li 1.004 -0.535 5.026
Li 3.011 6.751 3.611
Ce 1.004 1.088 1.955
Ce 3.011 5.128 6.682
Tm 1.004 5.261 1.402
Tm 3.011 0.956 7.236
Se 3.011 7.272 1.179
Se 1.004 -1.056 7.459
Se 1.004 5.420 4.291
Se 3.011 0.796 4.347
Se 3.011 3.285 1.490
Se 1.004 2.931 7.147
```

The formation energy (no corrections) comes out at -1638 meV per atom. The electronic total energy is -65.21 eV/cell. The value obtained for the density of states at the Fermi level is 15.11 states/eV per cell.

## Ag3Pd4Au4 (PBE)

Data for an optimized crystal structure of Ag3Pd4Au4. Values from VASP.

```
&SYSTEM
  ibrav = 0, nat = 11, ntyp = 3
/
ATOMIC_SPECIES
Ag 107.87 Ag.upf
Pd 106.42 Pd.upf
Au 196.97 Au.upf
CELL_PARAMETERS angstrom
-0.323 0.748 2.711
-2.319 -4.062 0.848
13.468 -4.602 1.409
ATOMIC_POSITIONS angstrom
Ag 2.225 -3.483 2.711
Ag 8.601 -4.434 2.258
Ag -2.642 -3.315 3.558
Pd 1.980 -0.729 1.914
Pd 6.264 -2.938 3.039
Pd 4.561 -4.978 1.929
Pd 8.846 -7.188 3.053
Au 0.175 -2.718 0.774
Au 10.650 -5.198 4.193
Au 6.508 -5.692 3.838
Au 4.317 -2.224 1.130
```

The calculation puts the energy above the most stable polymorph in this dataset at 0.000 eV/atom. The electronic total energy is -42.93 eV/cell. The value obtained for the density of states at the Fermi level is 4.44 states/eV per cell.

## NiH6RhPb (PBE)

Data for an optimized crystal structure of NiH6RhPb. Values from VASP.

```
&SYSTEM
  ibrav = 0, nat = 9, ntyp = 4
/
ATOMIC_SPECIES
Ni 58.69 Ni.upf
H 1.01 H.upf
Rh 102.91 Rh.upf
Pb 207.20 Pb.upf
CELL_PARAMETERS angstrom
4.731 0.000 0.001
2.366 4.096 0.000
0.001 0.000 4.630
ATOMIC_POSITIONS angstrom
Ni 4.731 2.730 2.315
H 5.636 1.649 1.427
H 4.247 4.055 3.203
H 3.827 1.649 3.203
H 6.120 2.488 3.204
H 3.342 2.488 1.427
H 5.216 4.054 1.427
Rh 2.366 1.365 2.315
Pb 7.097 4.095 4.631
```

The electronic total energy is -36.40 eV/cell. The value obtained for the density of states at the Fermi level is 3.63 states/eV per cell.

## Pm2MnAs4Pd3 (PBE)

Data for an optimized crystal structure of Pm2MnAs4Pd3. Values from VASP.

```
&SYSTEM
  ibrav = 0, nat = 10, ntyp = 4
/
ATOMIC_SPECIES
Pm 145.00 Pm.upf
Mn 54.94 Mn.upf
As 74.92 As.upf
Pd 106.42 Pd.upf
CELL_PARAMETERS angstrom
-3.876 -1.560 -0.659
1.300 -3.796 1.338
-2.776 2.621 10.129
ATOMIC_POSITIONS angstrom
Pm -2.640 -0.117 2.233
Pm -1.423 0.060 8.236
Mn -2.676 -1.368 5.404
As -1.288 -2.678 0.340
As 0.000 0.000 0.000
As -3.699 0.882 6.096
As -0.365 -0.940 4.373
Pd -1.388 1.310 5.064
Pd -4.330 1.478 8.399
Pd 0.266 -1.536 2.070
```

The electronic total energy is -60.64 eV/cell. The value obtained for the density of states at the Fermi level is 5.91 states/eV per cell.

## BaLi2Mn (PBE)

Data for an optimized crystal structure of BaLi2Mn. Values from VASP.

```
&SYSTEM
  ibrav = 0, nat = 4, ntyp = 3
/
ATOMIC_SPECIES
Mn 54.94 Mn.upf
Ba 137.33 Ba.upf
Li 6.94 Li.upf
CELL_PARAMETERS angstrom
0.000 3.815 3.815
3.815 0.000 3.815
3.815 3.815 0.000
ATOMIC_POSITIONS angstrom
Mn 0.000 0.000 0.000
Ba 3.815 3.815 3.815
Li 1.908 1.908 1.908
Li 5.723 5.723 5.723
```

The calculation puts the energy above the most stable polymorph in this dataset at 0.073 eV/atom. The electronic total energy is -13.17 eV/cell. The value obtained for the density of states at the Fermi level is 4.62 states/eV per cell.

## Mg2WS (PBE)

Data for an optimized crystal structure of Mg2WS. Values from VASP.

```
&SYSTEM
  ibrav = 0, nat = 8, ntyp = 3
/
ATOMIC_SPECIES
S 32.06 S.upf
Mg 24.30 Mg.upf
W 183.84 W.upf
CELL_PARAMETERS angstrom
-3.404 6.654 2.436
-6.499 -4.008 1.868
-4.094 0.957 4.349
ATOMIC_POSITIONS angstrom
S -4.952 1.323 2.152
S -7.773 -0.864 4.184
Mg -3.724 3.429 2.672
Mg -5.751 -0.966 2.731
Mg -7.242 1.428 5.007
Mg -11.279 3.315 6.896
W 0.000 0.000 0.000
W -6.225 4.467 4.468
```

The formation energy (no corrections) comes out at 470 meV per atom. The calculation puts the energy above the most stable polymorph in this dataset at 0.000 eV/atom. The electronic total energy is -36.78 eV/cell. The value obtained for the density of states at the Fermi level is 6.95 states/eV per cell.

## Ac2La2Tl3 (PBE)

Data for an optimized crystal structure of Ac2La2Tl3. Values from VASP.

```
&SYSTEM
  ibrav = 0, nat = 7, ntyp = 3
/
ATOMIC_SPECIES
Ac 227.00 Ac.upf
La 138.91 La.upf
Tl 204.38 Tl.upf
CELL_PARAMETERS angstrom
-1.617 -0.330 -3.414
0.730 -3.769 0.018
-15.498 -2.975 5.523
ATOMIC_POSITIONS angstrom
Ac -13.864 -4.627 2.802
Ac -2.522 -2.447 -0.675
La -9.923 -3.873 0.863
La -6.462 -3.201 1.264
Tl -5.782 -1.127 -1.365
Tl 0.000 0.000 0.000
Tl -11.334 -2.178 3.473
```

The calculation puts the energy above the most stable polymorph in this dataset at 0.027 eV/atom. The electronic total energy is -26.94 eV/cell. The value obtained for the density of states at the Fermi level is 8.92 states/eV per cell.

## Dy8TmHg2 (PBE)

Data for an optimized crystal structure of Dy8TmHg2. Values from VASP.

```
&SYSTEM
  ibrav = 0, nat = 11, ntyp = 3
/
ATOMIC_SPECIES
Dy 162.50 Dy.upf
Tm 168.93 Tm.upf
Hg 200.59 Hg.upf
CELL_PARAMETERS angstrom
5.489 -0.226 -0.340
-1.248 8.524 -0.603
-1.248 -3.840 7.634
ATOMIC_POSITIONS angstrom
Dy 2.927 4.928 4.341
Dy 2.927 2.108 6.220
Dy 0.141 2.760 4.143
Dy 1.497 5.644 1.070
Dy 1.497 -1.186 5.621
Dy 2.853 1.698 2.549
Dy 0.067 2.350 0.472
Dy 0.067 -0.470 2.351
Tm 2.744 -0.113 -0.170
Hg -1.248 -0.052 5.111
Hg -1.248 4.736 1.921
```

The electronic total energy is -42.42 eV/cell. The value obtained for the density of states at the Fermi level is 15.01 states/eV per cell.

## NiPbBr2 (PBE)

Data for an optimized crystal structure of NiPbBr2. Values from VASP.

```
&SYSTEM
  ibrav = 0, nat = 4, ntyp = 3
/
ATOMIC_SPECIES
Br 79.90 Br.upf
Ni 58.69 Ni.upf
Pb 207.20 Pb.upf
CELL_PARAMETERS angstrom
-4.947 -0.519 -4.066
-3.865 -5.115 -0.417
2.597 4.017 4.289
ATOMIC_POSITIONS angstrom
Br 0.000 0.000 0.000
Br -2.837 -1.958 0.815
Ni -4.406 -2.817 -2.241
Pb -3.378 0.340 -1.009
```

The formation energy (no corrections) comes out at 207 meV per atom. The calculation puts the energy above the most stable polymorph in this dataset at 0.538 eV/atom. The electronic total energy is -12.01 eV/cell. The value obtained for the density of states at the Fermi level is 2.27 states/eV per cell.

## CsCl (PBE)

Data for an optimized crystal structure of CsCl. Values from VASP.

```
&SYSTEM
  ibrav = 0, nat = 16, ntyp = 2
/
ATOMIC_SPECIES
Cs 132.91 Cs.upf
Cl 35.45 Cl.upf
CELL_PARAMETERS angstrom
10.640 0.000 0.000
0.000 10.640 0.000
0.000 0.000 10.640
ATOMIC_POSITIONS angstrom
Cs 3.611 3.611 3.611
Cs 3.611 7.029 7.029
Cs 7.029 3.611 7.029
Cs 7.029 7.029 3.611
Cs 8.931 8.931 8.931
Cs 8.931 1.709 1.709
Cs 1.709 8.931 1.709
Cs 1.709 1.709 8.931
Cl 1.691 1.691 1.691
Cl 1.691 8.949 8.949
Cl 8.949 1.691 8.949
Cl 8.949 8.949 1.691
Cl 7.011 7.011 7.011
Cl 7.011 3.629 3.629
Cl 3.629 7.011 3.629
Cl 3.629 3.629 7.011
```

The formation energy (no corrections) comes out at -1863 meV per atom. The electronic total energy is -51.41 eV/cell. The value obtained for the density of states at the Fermi level is 0.00 states/eV per cell.

## Er2TmPuSb4 (PBE)

Data for an optimized crystal structure of Er2TmPuSb4. Values from VASP.

```
&SYSTEM
  ibrav = 0, nat = 8, ntyp = 4
/
ATOMIC_SPECIES
Er 167.26 Er.upf
Tm 168.93 Tm.upf
Pu 244.00 Pu.upf
Sb 121.76 Sb.upf
CELL_PARAMETERS angstrom
-3.494 -1.612 2.082
4.374 -5.205 3.311
2.641 2.722 6.539
ATOMIC_POSITIONS angstrom
Er 2.641 2.722 6.539
Er -0.426 0.555 4.310
Tm 3.508 -1.241 4.925
Pu 0.440 -3.408 2.696
Sb 5.263 -1.881 7.375
Sb -1.742 -2.213 4.557
Sb 2.201 -4.026 5.174
Sb 1.320 -0.068 6.758
```

The formation energy (no corrections) comes out at -954 meV per atom. The electronic total energy is -52.05 eV/cell. The value obtained for the density of states at the Fermi level is 16.06 states/eV per cell.

Number 1: theoretical density 7.5 g/cm3. Number 2: theoretical density 6.3 g/cm3. Number 3: theoretical density 13.5 g/cm3. Number 4: theoretical density 6.9 g/cm3. Number 5: theoretical density 8.3 g/cm3. Number 6: theoretical density 3.1 g/cm3. Number 7: theoretical density 6.0 g/cm3. Number 8: theoretical density 9.2 g/cm3. Number 9: theoretical density 9.2 g/cm3. Number 10: theoretical density 7.0 g/cm3. Number 11: theoretical density 1.9 g/cm3. Number 12: theoretical density 8.7 g/cm3.